16
Lattice="8.5184 0.0000 0.0000 0.0000 8.5184 0.0000 0.0000 0.0000 5.2993" Properties=species:S:1:pos:R:3 comment="NbAuCl2 (GGA-PBEsol, optimized geometry)" sg=I-42d energy_ev_per_atom=-4.8106 pbc="T T T"
Nb 0.0000 0.0000 0.0000
Nb 0.0000 4.2592 1.3248
Nb 4.2592 0.0000 3.9745
Nb 4.2592 4.2592 2.6497
Au 0.0000 0.0000 2.6497
Au 0.0000 4.2592 3.9745
Au 4.2592 0.0000 1.3248
Au 4.2592 4.2592 0.0000
Cl 1.0190 2.1296 0.6624
Cl 2.1296 5.2782 1.9872
Cl 2.1296 7.4994 4.6369
Cl 3.2402 2.1296 3.3121
Cl 5.2782 6.3888 3.3121
Cl 6.3888 1.0190 4.6369
Cl 6.3888 3.2402 1.9872
Cl 7.4994 6.3888 0.6624